Record 1
This record from the Alexandria database describes a relaxed structure of Li2MgNi. The functional is GGA-PBEsol.

## Properties
ΔH_f (0 K): 9 kJ/mol of formula units
VASP energy: -2.929 eV per atom
DOS at the Fermi energy: 1.59 states/eV/f.u.
total magnetization: 0.000 μB/atom
SG: I-4m2, No. 119

a b c (Å): 4.3487 4.3356 4.3487
angles (deg): 59.90 90.00 120.10
Closest atoms and distances in Å follow each position.
Positions (direct):
1 Ni 0.2500 0.5000 0.2500  4 Li 2.66, 4 Mg 2.66
2 Li 0.0000 0.0000 0.0000  4 Li 2.66, 4 Ni 2.66
3 Mg 0.5000 0.0000 0.5000  4 Li 2.66, 4 Ni 2.66
4 Li 0.7500 0.5000 0.7500  4 Li 2.66, 4 Mg 2.66

---

Record 2
This record from the Alexandria database describes a relaxed structure of Li2YIn2. The functional is GGA-PBEsol.

## Properties
ΔH_f (0 K): -167 kJ/mol of formula units
VASP energy: -3.691 eV per atom
DOS at the Fermi energy: 2.66 states/eV/f.u.
distance to the lowest polymorph of the same formula: 0.000 eV/atom
total magnetization: 0.044 μB/atom
SG: P4/mbm, No. 127

a b c (Å): 3.1110 8.1241 8.1241
angles (deg): 90.00 90.00 90.00
Closest atoms and distances in Å follow each position.
Positions (direct):
1 Li 0.0000 0.1162 0.3838  1 Li 2.67, 6 In 2.81-2.91
2 In 0.5000 0.8204 0.3204  6 Li 2.81-2.91, 2 In 3.11
3 Y 0.0000 0.0000 0.0000  2 Y 3.11, 4 Li 3.26, 8 In 3.37
4 Li 0.0000 0.3838 0.8838  1 Li 2.67, 6 In 2.81-2.91
5 Li 0.0000 0.8838 0.6162  1 Li 2.67, 6 In 2.81-2.91
6 Li 0.0000 0.6162 0.1162  1 Li 2.67, 6 In 2.81-2.91
7 Y 0.0000 0.5000 0.5000  2 Y 3.11, 4 Li 3.26, 8 In 3.37
8 In 0.5000 0.3204 0.1796  6 Li 2.81-2.91, 2 In 3.11
9 In 0.5000 0.6796 0.8204  6 Li 2.81-2.91, 2 In 3.11
10 In 0.5000 0.1796 0.6796  6 Li 2.81-2.91, 2 In 3.11

---

Record 3
This record from the Alexandria database describes a relaxed structure of Hf2Be2Cd. The functional is GGA-PBEsol.

## Properties
ΔH_f (0 K): -81 kJ/mol of formula units
VASP energy: -6.208 eV per atom
DOS at the Fermi energy: 2.05 states/eV/f.u.
total magnetization: 0.000 μB/atom
SG: P4/mbm, No. 127

a b c (Å): 3.8546 6.3426 6.3426
angles (deg): 90.00 90.00 90.00
Closest atoms and distances in Å follow each position.
Positions (direct):
1 Hf 0.5000 0.3317 0.1683  6 Be 2.68-2.69
2 Cd 0.0000 0.5000 0.5000  4 Be 2.52
3 Hf 0.5000 0.8317 0.3317  6 Be 2.68-2.69
4 Be 0.0000 0.6219 0.1219  1 Be 2.19
5 Be 0.0000 0.3781 0.8781  1 Be 2.19
6 Hf 0.5000 0.6683 0.8317  6 Be 2.68-2.69
7 Be 0.0000 0.1219 0.3781  1 Be 2.19
8 Be 0.0000 0.8781 0.6219  1 Be 2.19
9 Hf 0.5000 0.1683 0.6683  6 Be 2.68-2.69
10 Cd 0.0000 0.0000 0.0000  4 Be 2.52

---

Record 4
This record from the Alexandria database describes a relaxed structure of HPtI2. The functional is GGA-PBEsol.

## Properties
VASP energy: -3.023 eV per atom
DOS at the Fermi energy: 2.94 states/eV/f.u.
distance to the lowest polymorph of the same formula: 0.000 eV/atom
total magnetization: 0.000 μB/atom
SG: I-42d, No. 122

a b c (Å): 5.6938 5.6938 6.9436
angles (deg): 114.21 114.21 90.00
Closest atoms and distances in Å follow each position.
Positions (direct):
1 Pt 0.0000 0.0000 0.0000  4 I 2.60
2 I 0.8343 0.3750 0.2500  2 H 2.33, 2 Pt 2.60
3 H 0.7500 0.2500 0.5000  4 I 2.33
4 Pt 0.2500 0.7500 0.5000  4 I 2.60
5 I 0.1250 0.1657 0.7500  2 H 2.33, 2 Pt 2.60
6 I 0.6250 0.5843 0.7500  2 H 2.33, 2 Pt 2.60
7 I 0.4157 0.8750 0.2500  2 H 2.33, 2 Pt 2.60
8 H 0.5000 0.5000 0.0000  4 I 2.33

---

Record 5
This record from the Alexandria database describes a relaxed structure of Nb. The functional is GGA-PBEsol.

## Properties
ΔH_f (0 K): 0 kJ/mol of formula units
VASP energy: -10.821 eV per atom
DOS at the Fermi energy: 1.51 states/eV/f.u.
total magnetization: 0.000 μB/atom
SG: Im-3m, No. 229

a b c (Å): 2.8359 2.8359 2.8359
angles (deg): 109.47 109.47 109.47
Closest atoms and distances in Å follow each position.
Positions (direct):
1 Nb 0.0000 0.0000 0.0000  8 Nb 2.84

---

Record 6
This record from the Alexandria database describes a relaxed structure of CaTi4S8. The functional is GGA-PBEsol.

## Properties
VASP energy: -6.956 eV per atom
DOS at the Fermi energy: 5.34 states/eV/f.u.
distance to the lowest polymorph of the same formula: 0.000 eV/atom
total magnetization: 0.000 μB/atom
SG: C2/m, No. 12

a b c (Å): 6.7327 6.7327 7.6243
angles (deg): 103.24 102.30 119.97
Closest atoms and distances in Å follow each position.
Positions (direct):
1 Ti 0.7573 0.7573 0.0000  6 S 2.39-2.43
2 S 0.0204 0.6907 0.2123  3 Ti 2.42-2.44
3 Ca 0.5000 0.0000 0.5000  6 S 2.78
4 Ti 0.7554 0.2502 0.0056  6 S 2.39-2.45
5 S 0.5216 0.1918 0.2123  3 Ti 2.42-2.44
6 S 0.4809 0.3131 0.7940  3 Ti 2.43-2.45
7 S 0.9796 0.3093 0.7877  3 Ti 2.42-2.44
8 S 0.9774 0.8092 0.7866  3 Ti 2.39
9 S 0.0226 0.1908 0.2134  3 Ti 2.39
10 S 0.4784 0.8082 0.7877  3 Ti 2.42-2.44
11 Ti 0.2427 0.2427 0.0000  6 S 2.39-2.43
12 S 0.5191 0.6869 0.2060  3 Ti 2.43-2.45
13 Ti 0.2446 0.7498 0.9944  6 S 2.39-2.45

---

Record 7
This record from the Alexandria database describes a relaxed structure of MgPb4. The functional is GGA-PBEsol.

## Properties
ΔH_f (0 K): -5 kJ/mol of formula units
VASP energy: -3.553 eV per atom
DOS at the Fermi energy: 2.48 states/eV/f.u.
total magnetization: 0.000 μB/atom
SG: I4/m, No. 87

a b c (Å): 4.9579 5.8961 5.8961
angles (deg): 79.82 65.14 65.14
Closest atoms and distances in Å follow each position.
Positions (direct):
1 Pb 0.3957 0.8067 0.4018  3 Mg 3.36-3.44, 9 Pb 3.37-3.48
2 Pb 0.7975 0.5982 0.8067  3 Mg 3.36-3.44, 9 Pb 3.37-3.48
3 Pb 0.6043 0.1933 0.5982  3 Mg 3.36-3.44, 9 Pb 3.37-3.48
4 Mg 0.0000 0.0000 0.0000  12 Pb 3.36-3.44
5 Pb 0.2025 0.4018 0.1933  3 Mg 3.36-3.44, 9 Pb 3.37-3.48

---

Record 8
This record from the Alexandria database describes a relaxed structure of Cs2TaBr. The functional is GGA-PBEsol.

## Properties
VASP energy: -3.211 eV per atom
DOS at the Fermi energy: 10.09 states/eV/f.u.
total magnetization: 1.000 μB/atom
SG: Fm-3m, No. 225

a b c (Å): 6.1921 6.1921 6.1921
angles (deg): 60.00 60.00 60.00
Closest atoms and distances in Å follow each position.
Positions (direct):
1 Cs 0.7500 0.7500 0.7500  4 Br 3.79, 4 Ta 3.79
2 Ta 0.5000 0.5000 0.5000  8 Cs 3.79
3 Cs 0.2500 0.2500 0.2500  4 Br 3.79, 4 Ta 3.79
4 Br 0.0000 0.0000 0.0000  8 Cs 3.79